# ReMo2H2 PBE optimized geometry
# Space group: No. 127
# DFT total energy (eV/atom): -7.8442
# Magnetic moment (μB per formula unit): 0.000
# D(E_F) (states/eV/f.u.): 2.93
data_ReMo2H2
_chemical_formula_sum 'Re2 Mo4 H4'
_cell_length_a 5.955
_cell_length_b 5.955
_cell_length_c 3.007
_cell_angle_alpha 90.00
_cell_angle_beta 90.00
_cell_angle_gamma 90.00
_symmetry_space_group_name_H-M 'P 1'
_symmetry_Int_Tables_number 1
loop_
_symmetry_equiv_pos_as_xyz
'x,y,z'
loop_
_atom_site_label
_atom_site_type_symbol
_atom_site_fract_x
_atom_site_fract_y
_atom_site_fract_z
Re1 Re 0.000 0.000 0.000
Re2 Re 0.500 0.500 0.000
Mo1 Mo 0.153 0.653 0.500
Mo2 Mo 0.653 0.847 0.500
Mo3 Mo 0.847 0.347 0.500
Mo4 Mo 0.347 0.153 0.500
H1 H 0.306 0.806 0.000
H2 H 0.806 0.694 0.000
H3 H 0.694 0.194 0.000
H4 H 0.194 0.306 0.000

=====

# Cu2PAu PBE optimized geometry
# ΔE_f (eV/atom): 0.16
# Space group: No. 139
# DFT total energy (eV/atom): -4.0560
# Magnetic moment (μB per formula unit): 0.000
# D(E_F) (states/eV/f.u.): 1.14
data_Cu2PAu
_chemical_formula_sum 'Cu2 P1 Au1'
_cell_length_a 4.728
_cell_length_b 4.728
_cell_length_c 4.728
_cell_angle_alpha 132.17
_cell_angle_beta 132.17
_cell_angle_gamma 69.96
_symmetry_space_group_name_H-M 'P 1'
_symmetry_Int_Tables_number 1
loop_
_symmetry_equiv_pos_as_xyz
'x,y,z'
loop_
_atom_site_label
_atom_site_type_symbol
_atom_site_fract_x
_atom_site_fract_y
_atom_site_fract_z
Au1 Au 0.750 0.250 0.500
Cu1 Cu 0.000 0.000 0.000
Cu2 Cu 0.500 0.500 0.000
P1 P 0.250 0.750 0.500

=====

# MgCdO2 PBE optimized geometry
# Space group: No. 8
# DFT total energy (eV/atom): -4.9055
# Magnetic moment (μB per formula unit): 0.000
# E_form (uncorrected) (eV per formula unit): -7.20
data_MgCdO2
_chemical_formula_sum 'Mg2 Cd2 O4'
_cell_length_a 3.418
_cell_length_b 5.950
_cell_length_c 6.021
_cell_angle_alpha 80.51
_cell_angle_beta 90.00
_cell_angle_gamma 73.30
_symmetry_space_group_name_H-M 'P 1'
_symmetry_Int_Tables_number 1
loop_
_symmetry_equiv_pos_as_xyz
'x,y,z'
loop_
_atom_site_label
_atom_site_type_symbol
_atom_site_fract_x
_atom_site_fract_y
_atom_site_fract_z
Mg1 Mg 0.360 0.974 0.241
Mg2 Mg 0.102 0.490 0.482
Cd1 Cd 0.609 0.475 0.995
Cd2 Cd 0.850 0.993 0.717
O1 O 0.183 0.328 0.213
O2 O 0.924 0.846 0.397
O3 O 0.651 0.393 0.647
O4 O 0.410 0.873 0.943

=====

# Ac3Al2InPd6 PBE optimized geometry
# ΔE_f (eV/atom): -0.64
# Space group: No. 164
# DFT total energy (eV/atom): -5.1122
# Magnetic moment (μB per formula unit): 0.000
# D(E_F) (states/eV/f.u.): 5.94
data_Ac3Al2InPd6
_chemical_formula_sum 'Ac3 Al2 In1 Pd6'
_cell_length_a 5.962
_cell_length_b 5.962
_cell_length_c 9.101
_cell_angle_alpha 90.00
_cell_angle_beta 90.00
_cell_angle_gamma 120.00
_symmetry_space_group_name_H-M 'P 1'
_symmetry_Int_Tables_number 1
loop_
_symmetry_equiv_pos_as_xyz
'x,y,z'
loop_
_atom_site_label
_atom_site_type_symbol
_atom_site_fract_x
_atom_site_fract_y
_atom_site_fract_z
Ac1 Ac 0.333 0.667 0.635
Ac2 Ac 0.667 0.333 0.365
Ac3 Ac 0.000 0.000 0.000
Al1 Al 0.667 0.333 0.953
Al2 Al 0.333 0.667 0.047
In1 In 0.000 0.000 0.500
Pd1 Pd 0.649 0.824 0.272
Pd2 Pd 0.176 0.351 0.272
Pd3 Pd 0.176 0.824 0.272
Pd4 Pd 0.824 0.649 0.728
Pd5 Pd 0.351 0.176 0.728
Pd6 Pd 0.824 0.176 0.728

=====

# CrP2 PBE optimized geometry
# ΔE_f (eV/atom): -0.44
# Space group: No. 12
# DFT total energy (eV/atom): -7.2530
# Magnetic moment (μB per formula unit): 0.000
# D(E_F) (states/eV/f.u.): 0.52
data_CrP2
_chemical_formula_sum 'Cr2 P4'
_cell_length_a 4.357
_cell_length_b 4.357
_cell_length_c 7.081
_cell_angle_alpha 62.57
_cell_angle_beta 62.57
_cell_angle_gamma 40.42
_symmetry_space_group_name_H-M 'P 1'
_symmetry_Int_Tables_number 1
loop_
_symmetry_equiv_pos_as_xyz
'x,y,z'
loop_
_atom_site_label
_atom_site_type_symbol
_atom_site_fract_x
_atom_site_fract_y
_atom_site_fract_z
Cr1 Cr 0.157 0.157 0.296
Cr2 Cr 0.843 0.843 0.704
P1 P 0.398 0.398 0.401
P2 P 0.602 0.602 0.599
P3 P 0.855 0.855 0.029
P4 P 0.145 0.145 0.971

=====

# VZn3C PBE optimized geometry
# ΔE_f (eV/atom): 2.18
# Space group: No. 221
# DFT total energy (eV/atom): -2.2497
# Magnetic moment (μB per formula unit): 6.500
# D(E_F) (states/eV/f.u.): 9.24
data_VZn3C
_chemical_formula_sum 'V1 Zn3 C1'
_cell_length_a 5.102
_cell_length_b 5.102
_cell_length_c 5.102
_cell_angle_alpha 90.00
_cell_angle_beta 90.00
_cell_angle_gamma 90.00
_symmetry_space_group_name_H-M 'P 1'
_symmetry_Int_Tables_number 1
loop_
_symmetry_equiv_pos_as_xyz
'x,y,z'
loop_
_atom_site_label
_atom_site_type_symbol
_atom_site_fract_x
_atom_site_fract_y
_atom_site_fract_z
Zn1 Zn 0.000 0.500 0.000
Zn2 Zn 0.000 0.000 0.500
Zn3 Zn 0.500 0.000 0.000
C1 C 0.500 0.500 0.500
V1 V 0.000 0.000 0.000

=====

# Sr2Ac4Pb3O2 PBE optimized geometry
# Space group: No. 139
# DFT total energy (eV/atom): -5.0341
# Magnetic moment (μB per formula unit): 0.000
# E_form (uncorrected) (eV per formula unit): -14.54
# D(E_F) (states/eV/f.u.): 3.59
data_Sr2Ac4Pb3O2
_chemical_formula_sum 'Sr2 Ac4 Pb3 O2'
_cell_length_a 5.210
_cell_length_b 5.210
_cell_length_c 14.098
_cell_angle_alpha 100.65
_cell_angle_beta 100.65
_cell_angle_gamma 90.00
_symmetry_space_group_name_H-M 'P 1'
_symmetry_Int_Tables_number 1
loop_
_symmetry_equiv_pos_as_xyz
'x,y,z'
loop_
_atom_site_label
_atom_site_type_symbol
_atom_site_fract_x
_atom_site_fract_y
_atom_site_fract_z
Sr1 Sr 0.300 0.300 0.601
Sr2 Sr 0.700 0.700 0.399
Ac1 Ac 0.413 0.913 0.825
Ac2 Ac 0.913 0.413 0.825
Ac3 Ac 0.087 0.587 0.175
Ac4 Ac 0.587 0.087 0.175
Pb1 Pb 0.000 0.000 0.000
Pb2 Pb 0.174 0.174 0.348
Pb3 Pb 0.826 0.826 0.652
O1 O 0.400 0.400 0.801
O2 O 0.600 0.600 0.199

=====

# TaCl PBE optimized geometry
# Space group: No. 194
# DFT total energy (eV/atom): -5.6498
# Magnetic moment (μB per formula unit): 0.000
# E_form (uncorrected) (eV per formula unit): 2.40
# D(E_F) (states/eV/f.u.): 2.14
data_TaCl
_chemical_formula_sum 'Ta2 Cl2'
_cell_length_a 3.879
_cell_length_b 3.879
_cell_length_c 5.407
_cell_angle_alpha 90.00
_cell_angle_beta 90.00
_cell_angle_gamma 120.00
_symmetry_space_group_name_H-M 'P 1'
_symmetry_Int_Tables_number 1
loop_
_symmetry_equiv_pos_as_xyz
'x,y,z'
loop_
_atom_site_label
_atom_site_type_symbol
_atom_site_fract_x
_atom_site_fract_y
_atom_site_fract_z
Cl1 Cl 0.000 0.000 0.000
Cl2 Cl 0.000 0.000 0.500
Ta1 Ta 0.333 0.667 0.250
Ta2 Ta 0.667 0.333 0.750

=====

# CeEr3Pb3 PBE optimized geometry
# ΔE_f (eV/atom): -0.32
# Space group: No. 176
# DFT total energy (eV/atom): -4.7167
# Magnetic moment (μB per formula unit): 0.767
# D(E_F) (states/eV/f.u.): 12.16
data_CeEr3Pb3
_chemical_formula_sum 'Ce2 Er6 Pb6'
_cell_length_a 5.540
_cell_length_b 9.258
_cell_length_c 9.258
_cell_angle_alpha 120.00
_cell_angle_beta 90.00
_cell_angle_gamma 90.00
_symmetry_space_group_name_H-M 'P 1'
_symmetry_Int_Tables_number 1
loop_
_symmetry_equiv_pos_as_xyz
'x,y,z'
loop_
_atom_site_label
_atom_site_type_symbol
_atom_site_fract_x
_atom_site_fract_y
_atom_site_fract_z
Ce1 Ce 0.250 0.667 0.333
Ce2 Ce 0.750 0.333 0.667
Er1 Er 0.250 0.773 0.764
Er2 Er 0.250 0.236 0.009
Er3 Er 0.250 0.991 0.227
Er4 Er 0.750 0.227 0.236
Er5 Er 0.750 0.764 0.991
Er6 Er 0.750 0.009 0.773
Pb1 Pb 0.750 0.629 0.554
Pb2 Pb 0.750 0.446 0.075
Pb3 Pb 0.750 0.925 0.371
Pb4 Pb 0.250 0.371 0.446
Pb5 Pb 0.250 0.554 0.925
Pb6 Pb 0.250 0.075 0.629

=====

# Rb4Dy3ScO8 PBE optimized geometry
# Space group: No. 166
# DFT total energy (eV/atom): -6.6521
# Magnetic moment (μB per formula unit): 0.000
# E_form (uncorrected) (eV per formula unit): -42.76
# D(E_F) (states/eV/f.u.): 0.00
data_Rb4Dy3ScO8
_chemical_formula_sum 'Rb4 Dy3 Sc1 O8'
_cell_length_a 6.915
_cell_length_b 7.660
_cell_length_c 6.915
_cell_angle_alpha 116.82
_cell_angle_beta 120.00
_cell_angle_gamma 90.00
_symmetry_space_group_name_H-M 'P 1'
_symmetry_Int_Tables_number 1
loop_
_symmetry_equiv_pos_as_xyz
'x,y,z'
loop_
_atom_site_label
_atom_site_type_symbol
_atom_site_fract_x
_atom_site_fract_y
_atom_site_fract_z
Rb1 Rb 0.500 0.000 0.000
Rb2 Rb 0.500 0.000 0.500
Rb3 Rb 0.000 0.000 0.000
Rb4 Rb 0.000 0.000 0.500
Dy1 Dy 0.500 0.500 0.000
Dy2 Dy 0.500 0.500 0.500
Dy3 Dy 0.000 0.500 0.500
Sc1 Sc 0.000 0.500 0.000
O1 O 0.218 0.672 0.954
O2 O 0.218 0.672 0.436
O3 O 0.275 0.324 0.549
O4 O 0.736 0.672 0.954
O5 O 0.264 0.328 0.046
O6 O 0.725 0.676 0.451
O7 O 0.782 0.328 0.564
O8 O 0.782 0.328 0.046

=====

# NpIn3F8 PBE optimized geometry
# Space group: No. 221
# DFT total energy (eV/atom): -5.5031
# Magnetic moment (μB per formula unit): 1.995
# E_form (uncorrected) (eV per formula unit): -29.91
# D(E_F) (states/eV/f.u.): 6.32
data_NpIn3F8
_chemical_formula_sum 'Np1 In3 F8'
_cell_length_a 6.021
_cell_length_b 6.021
_cell_length_c 6.021
_cell_angle_alpha 90.00
_cell_angle_beta 90.00
_cell_angle_gamma 90.00
_symmetry_space_group_name_H-M 'P 1'
_symmetry_Int_Tables_number 1
loop_
_symmetry_equiv_pos_as_xyz
'x,y,z'
loop_
_atom_site_label
_atom_site_type_symbol
_atom_site_fract_x
_atom_site_fract_y
_atom_site_fract_z
Np1 Np 0.000 0.000 0.000
In1 In 0.500 0.500 0.000
In2 In 0.500 0.000 0.500
In3 In 0.000 0.500 0.500
F1 F 0.216 0.216 0.784
F2 F 0.216 0.784 0.216
F3 F 0.784 0.216 0.216
F4 F 0.784 0.784 0.784
F5 F 0.784 0.784 0.216
F6 F 0.784 0.216 0.784
F7 F 0.216 0.784 0.784
F8 F 0.216 0.216 0.216

=====

# Tb2UTl2S6 PBE optimized geometry
# Space group: No. 12
# DFT total energy (eV/atom): -6.0027
# Magnetic moment (μB per formula unit): 2.000
# E_form (uncorrected) (eV per formula unit): -15.98
# D(E_F) (states/eV/f.u.): 6.64
data_Tb2UTl2S6
_chemical_formula_sum 'Tb2 U1 Tl2 S6'
_cell_length_a 6.962
_cell_length_b 6.962
_cell_length_c 7.932
_cell_angle_alpha 98.58
_cell_angle_beta 98.58
_cell_angle_gamma 119.88
_symmetry_space_group_name_H-M 'P 1'
_symmetry_Int_Tables_number 1
loop_
_symmetry_equiv_pos_as_xyz
'x,y,z'
loop_
_atom_site_label
_atom_site_type_symbol
_atom_site_fract_x
_atom_site_fract_y
_atom_site_fract_z
Tb1 Tb 0.334 0.666 0.500
Tb2 Tb 0.666 0.334 0.500
U1 U 0.000 0.000 0.500
Tl1 Tl 0.831 0.169 0.000
Tl2 Tl 0.169 0.831 0.000
S1 S 0.742 0.742 0.695
S2 S 0.064 0.392 0.694
S3 S 0.258 0.258 0.305
S4 S 0.392 0.064 0.694
S5 S 0.936 0.608 0.306
S6 S 0.608 0.936 0.306